This record from Alexandria describes a relaxed structure of LaAlW2. The functional is GGA-PBE.

Structure (POSCAR):
```
LaAlW2
1.0
5.600 -0.036 0.000
-2.450 5.036 0.000
0.000 0.000 2.766
La W Al
1 2 1
Cartesian
-1.225 2.518 1.383
1.575 2.500 0.000
0.000 0.000 0.000
2.800 -0.018 1.383
```

Summary:
**Symmetry**: Cmmm, No. 65
**Energy of formation**: 0.79 eV per atom
**Raw total energy**: -7.854 eV/atom
**Total moment**: 0.0 Bohr magnetons per cell
**Density of states at the Fermi level**: 3.411 states/eV/cell